(1)
An optimized crystal structure of LiHg2Pd4. Source: Alexandria via LeMat-Bulk, functional PBE.

For the theoretical density, the calculation gives 11.025 g/cm3. As for the electronic total energy: -3.492 eV/atom. For the energy relative to the lowest polymorph listed for this composition, the calculation gives 0 meV per atom. For the total magnetization, the calculation gives 0.000 μB/cell. For the formation energy, the calculation gives -0.17 eV/atom.

The structure belongs to space group I4/mmm (No. 139); the cell edges are 5.554, 5.554 and 8.141 Å and the angles 90.00°, 90.00° and 90.00°. The inequivalent atoms are Li at (0.000, 0.000, 0.000), Hg at (0.000, 0.500, 0.000) and Pd at (0.250, 0.250, 0.250).

=====

(2)
An optimized crystal structure of LiHg2Pd2. Source: Alexandria via LeMat-Bulk, functional PBE.

For the theoretical density, the calculation gives 10.081 g/cm3. As for the electronic total energy: -2.706 eV/atom. For the energy relative to the lowest polymorph listed for this composition, the calculation gives 158 meV per atom. For the total magnetization, the calculation gives 0.000 μB/cell. For the formation energy, the calculation gives -0.13 eV/atom.

The structure belongs to space group I4/mmm (No. 139); the cell edges are 3.881, 3.881 and 13.580 Å and the angles 90.00°, 90.00° and 90.00°. The inequivalent atoms are Li at (0.000, 0.000, 0.000), Hg at (0.000, 0.000, 0.397) and Pd at (0.000, 0.500, 0.250).

=====

(3)
An optimized crystal structure of Li2Hg6Pd. Source: Alexandria via LeMat-Bulk, functional PBE.

For the theoretical density, the calculation gives 11.883 g/cm3. As for the electronic total energy: -1.399 eV/atom. For the total magnetization, the calculation gives 0.000 μB/cell. For the formation energy, the calculation gives -0.20 eV/atom.

The structure belongs to space group C2/m (No. 12); the cell edges are 12.845, 4.402 and 9.002 Å and the angles 90.00°, 133.37° and 90.00°. The inequivalent atoms are Li at (0.151, 0.000, 0.304), Hg at (0.028, 0.500, 0.348), Hg at (0.152, 0.000, 0.991), Hg at (0.189, 0.000, 0.666) and Pd at (0.000, 0.500, 0.000).

=====

(4)
An optimized crystal structure of Li3HgPd2. Source: Alexandria via LeMat-Bulk, functional PBE.

For the theoretical density, the calculation gives 7.100 g/cm3. As for the electronic total energy: -3.058 eV/atom. For the energy relative to the lowest polymorph listed for this composition, the calculation gives 93 meV per atom. For the total magnetization, the calculation gives 0.000 μB/cell. For the formation energy, the calculation gives -0.32 eV/atom.

The structure belongs to space group Imma (No. 74); the cell edges are 7.866, 10.698 and 4.828 Å and the angles 90.00°, 90.00° and 90.00°. The inequivalent atoms are Li at (0.176, 0.000, 0.000), Li at (0.250, 0.250, 0.250), Hg at (0.000, 0.250, 0.882) and Pd at (0.000, 0.114, 0.398).

=====

(5)
An optimized crystal structure of LiHg3Pd2. Source: Alexandria via LeMat-Bulk, functional PBE.

For the theoretical density, the calculation gives 12.603 g/cm3. As for the electronic total energy: -2.447 eV/atom. For the total magnetization, the calculation gives 0.000 μB/cell. For the formation energy, the calculation gives -0.25 eV/atom.

The structure belongs to space group Cmmm (No. 65); the cell edges are 4.397, 13.250 and 3.716 Å and the angles 90.00°, 90.00° and 90.00°. The inequivalent atoms are Li at (0.000, 0.000, 0.000), Hg at (0.000, 0.166, 0.500), Hg at (0.000, 0.500, 0.500) and Pd at (0.000, 0.337, 0.000).

=====

(6)
An optimized crystal structure of Li5Hg2Pd2. Source: Alexandria via LeMat-Bulk, functional PBE.

For the theoretical density, the calculation gives 7.474 g/cm3. As for the electronic total energy: -2.629 eV/atom. For the total magnetization, the calculation gives 0.000 μB/cell. For the formation energy, the calculation gives -0.34 eV/atom.

The structure belongs to space group Amm2 (No. 38); the cell edges are 8.234, 4.501 and 7.777 Å and the angles 90.00°, 90.00° and 90.00°. The inequivalent atoms are Li at (0.000, 0.000, 0.000), Li at (0.174, 0.000, 0.664), Li at (0.335, 0.000, 0.328), Hg at (0.000, 0.000, 0.335), Hg at (0.500, 0.000, 0.660) and Pd at (0.328, 0.000, 0.993).

=====

(7)
An optimized crystal structure of Li7HgPd3. Source: Alexandria via LeMat-Bulk, functional PBE.

For the theoretical density, the calculation gives 5.255 g/cm3. As for the electronic total energy: -2.917 eV/atom. For the energy relative to the lowest polymorph listed for this composition, the calculation gives 69 meV per atom. For the total magnetization, the calculation gives 0.000 μB/cell. For the formation energy, the calculation gives -0.26 eV/atom.

The structure belongs to space group C2/m (No. 12); the cell edges are 9.364, 9.259 and 4.754 Å and the angles 90.00°, 119.36° and 90.00°. The inequivalent atoms are Li at (0.000, 0.000, 0.000), Li at (0.167, 0.500, 0.157), Li at (0.172, 0.278, 0.671), Hg at (0.000, 0.000, 0.500), Pd at (0.000, 0.272, 0.000) and Pd at (0.000, 0.500, 0.500).

=====

(8)
An optimized crystal structure of LiHg3Pd. Source: Alexandria via LeMat-Bulk, functional PBE.

For the theoretical density, the calculation gives 10.596 g/cm3. As for the electronic total energy: -1.297 eV/atom. For the energy relative to the lowest polymorph listed for this composition, the calculation gives 531 meV per atom. For the total magnetization, the calculation gives 0.000 μB/cell. For the formation energy, the calculation gives 0.31 eV/atom.

The structure belongs to space group Pm-3m (No. 221); the cell edges are 4.821, 4.821 and 4.821 Å and the angles 90.00°, 90.00° and 90.00°. The inequivalent atoms are Li at (0.000, 0.000, 0.000), Hg at (0.000, 0.000, 0.500) and Pd at (0.500, 0.500, 0.500).

=====

(9)
An optimized crystal structure of LiHg3Pd4. Source: Alexandria via LeMat-Bulk, functional PBE.

For the theoretical density, the calculation gives 12.115 g/cm3. As for the electronic total energy: -3.111 eV/atom. For the energy relative to the lowest polymorph listed for this composition, the calculation gives 103 meV per atom. For the total magnetization, the calculation gives 0.000 μB/cell. For the formation energy, the calculation gives -0.16 eV/atom.

The structure belongs to space group Imm2 (No. 44); the cell edges are 5.526, 9.316 and 5.508 Å and the angles 90.00°, 90.00° and 90.00°. The inequivalent atoms are Li at (0.000, 0.000, 0.000), Hg at (0.000, 0.229, 0.295), Hg at (0.000, 0.500, 0.563), Pd at (0.000, 0.243, 0.799) and Pd at (0.246, 0.500, 0.062).

=====

(10)
An optimized crystal structure of LiHg2Pd5. Source: Alexandria via LeMat-Bulk, functional PBE.

For the theoretical density, the calculation gives 11.924 g/cm3. As for the electronic total energy: -3.803 eV/atom. For the energy relative to the lowest polymorph listed for this composition, the calculation gives 11 meV per atom. For the total magnetization, the calculation gives 0.000 μB/cell. For the formation energy, the calculation gives -0.24 eV/atom.

The structure belongs to space group Pbam (No. 55); the cell edges are 5.675, 11.355 and 4.064 Å and the angles 90.00°, 90.00° and 90.00°. The inequivalent atoms are Li at (0.000, 0.000, 0.000), Hg at (0.245, 0.375, 0.500), Pd at (0.000, 0.500, 0.000), Pd at (0.010, 0.752, 0.000) and Pd at (0.241, 0.122, 0.500).

=====

(11)
An optimized crystal structure of Li4Hg5Pd. Source: Alexandria via LeMat-Bulk, functional PBE.

For the theoretical density, the calculation gives 10.267 g/cm3. As for the electronic total energy: -1.764 eV/atom. For the total magnetization, the calculation gives 0.000 μB/cell. For the formation energy, the calculation gives -0.33 eV/atom.

The structure belongs to space group P4/mmm (No. 123); the cell edges are 3.353, 3.353 and 16.358 Å and the angles 90.00°, 90.00° and 90.00°. The inequivalent atoms are Li at (0.000, 0.000, 0.101), Li at (0.000, 0.000, 0.306), Hg at (0.500, 0.500, 0.000), Hg at (0.500, 0.500, 0.202), Hg at (0.500, 0.500, 0.399) and Pd at (0.000, 0.000, 0.500).

=====

(12)
An optimized crystal structure of Li2Hg3Pd3. Source: Alexandria via LeMat-Bulk, functional PBE.

For the theoretical density, the calculation gives 11.223 g/cm3. As for the electronic total energy: -2.859 eV/atom. For the energy relative to the lowest polymorph listed for this composition, the calculation gives 0 meV per atom. For the total magnetization, the calculation gives 0.000 μB/cell. For the formation energy, the calculation gives -0.32 eV/atom.

The structure belongs to space group R3m (No. 160, hexagonal axes); the cell edges are 4.5935, 4.5935 and 22.7093 Å and the angles 90.00°, 90.00° and 120.00°. The inequivalent atoms are Li at (0.0000, 0.0000, 0.0000), Li at (0.0000, 0.0000, 0.4953), Hg at (0.0000, 0.0000, 0.3774), Hg at (0.0000, 0.0000, 0.6199), Hg at (0.0000, 0.0000, 0.8648), Pd at (0.0000, 0.0000, 0.1219), Pd at (0.0000, 0.0000, 0.2466) and Pd at (0.0000, 0.0000, 0.7434).